(1)
A plane-wave DFT calculation with GGA-PBE was carried out for an optimized crystal structure of KAlHg2Se4.

Structure (POSCAR):
```
KAlHg2Se4
1.0
-3.386 4.055 4.495
3.386 -4.055 4.495
3.386 4.055 -4.495
K Al Hg Se
1 1 2 4
direct
0.000 0.000 0.000 K
0.500 0.500 0.000 Al
0.322 0.822 0.500 Hg
0.678 0.178 0.500 Hg
0.165 0.148 0.619 Se
0.471 0.852 0.018 Se
0.529 0.547 0.381 Se
0.835 0.453 0.982 Se
```

Summary:
Total energy (eV per atom): -3.0819


(2)
A plane-wave DFT calculation with GGA-PBE was carried out for an optimized crystal structure of ZrOs4C2.

Structure (POSCAR):
```
ZrOs4C2
1.0
-2.404 2.404 5.229
2.404 -2.404 5.229
2.404 2.404 -5.229
Zr Os C
1 4 2
direct
0.000 0.000 0.000 Zr
0.000 0.500 0.500 Os
0.260 0.260 0.000 Os
0.500 0.000 0.500 Os
0.740 0.740 0.000 Os
0.436 0.436 0.000 C
0.564 0.564 0.000 C
```

Summary:
Energy of formation from the pure elements (eV per atom): 2.341
DOS(E_F) (states/eV/cell): 9.24